No. 1
First-principles (GGA-PBE) data for crystalline LiHgCl at its relaxed geometry, as listed in Alexandria via LeMat-Bulk.

Output
* E_form (uncorrected): -1.14 eV per atom
* symmetry: P1

Cell lengths 3.913, 3.923, 12.168 Å; angles 88.57, 88.83, 60.23 degrees
Element x y z (fractional)
Li: 0.000 0.000 0.000
Li: 0.339 0.353 0.748
Hg: 0.034 0.034 0.301
Hg: 0.690 0.684 0.510
Cl: 0.004 0.016 0.787
Cl: 0.665 0.663 0.045

=====

No. 2
First-principles (GGA-PBE) data for crystalline Ba2PaHgS6 at its relaxed geometry, as listed in Alexandria via LeMat-Bulk.

Output
* E_form (uncorrected): -1.35 eV per atom
* symmetry: P2_1/c

Cell lengths 7.331, 7.762, 12.162 Å; angles 90.00, 125.80, 90.00 degrees
Element x y z (fractional)
Ba: 0.225 0.077 0.248
Ba: 0.225 0.423 0.748
Ba: 0.775 0.577 0.252
Ba: 0.775 0.923 0.752
Pa: 0.500 0.000 0.000
Pa: 0.500 0.500 0.500
Hg: 0.000 0.000 0.500
Hg: 0.000 0.500 0.000
S: 0.166 0.185 0.955
S: 0.166 0.315 0.455
S: 0.271 0.716 0.954
S: 0.271 0.784 0.454
S: 0.340 0.024 0.741
S: 0.340 0.476 0.241
S: 0.660 0.524 0.759
S: 0.660 0.976 0.259
S: 0.729 0.216 0.546
S: 0.729 0.284 0.046
S: 0.834 0.685 0.545
S: 0.834 0.815 0.045

=====

No. 3
First-principles (GGA-PBE) data for crystalline Ca2ZrBr at its relaxed geometry, as listed in Alexandria via LeMat-Bulk.

Output
* E_form (uncorrected): 0.36 eV per atom
* symmetry: F-43m

Cell lengths 7.840, 7.840, 7.840 Å; angles 90.00, 90.00, 90.00 degrees
Element x y z (fractional)
Ca: 0.000 0.000 0.000
Ca: 0.000 0.500 0.500
Ca: 0.250 0.250 0.250
Ca: 0.250 0.750 0.750
Ca: 0.500 0.000 0.500
Ca: 0.500 0.500 0.000
Ca: 0.750 0.250 0.750
Ca: 0.750 0.750 0.250
Zr: 0.250 0.250 0.750
Zr: 0.250 0.750 0.250
Zr: 0.750 0.250 0.250
Zr: 0.750 0.750 0.750
Br: 0.000 0.000 0.500
Br: 0.000 0.500 0.000
Br: 0.500 0.000 0.000
Br: 0.500 0.500 0.500